# 1
Crystalline Np4TlPd15 at its relaxed geometry. Source: Alexandria via LeMat-Bulk, functional PBE.

abc: 4.1386 4.1386 20.6034
angles: 90.00 90.00 90.00
With the nearest neighbours (Å) after each atom.
Positions (direct):
Np: 0.0000 0.0000 0.1971  12 Pd 2.87-2.94
Np: 0.0000 0.0000 0.3990  12 Pd 2.93
Np: 0.0000 0.0000 0.6010  12 Pd 2.93
Np: 0.0000 0.0000 0.8029  12 Pd 2.87-2.94
Tl: 0.0000 0.0000 0.0000  12 Pd 2.93
Pd: 0.5000 0.5000 0.0000  4 Tl 2.93, 8 Pd 2.93
Pd: 0.5000 0.5000 0.1991  8 Pd 2.90-2.91, 4 Np 2.93
Pd: 0.5000 0.5000 0.3996  8 Pd 2.93, 4 Np 2.93
Pd: 0.5000 0.5000 0.6004  8 Pd 2.93, 4 Np 2.93
Pd: 0.5000 0.5000 0.8009  8 Pd 2.90-2.91, 4 Np 2.93
Pd: 0.5000 0.0000 0.1006  2 Np 2.87, 8 Pd 2.90-2.93, 2 Tl 2.93
Pd: 0.5000 0.0000 0.2987  8 Pd 2.91-2.93, 4 Np 2.93-2.94
Pd: 0.5000 0.0000 0.5000  8 Pd 2.93, 4 Np 2.93
Pd: 0.5000 0.0000 0.7013  8 Pd 2.91-2.93, 4 Np 2.93-2.94
Pd: 0.5000 0.0000 0.8994  2 Np 2.87, 8 Pd 2.90-2.93, 2 Tl 2.93
Pd: 0.0000 0.5000 0.1006  2 Np 2.87, 8 Pd 2.90-2.93, 2 Tl 2.93
Pd: 0.0000 0.5000 0.2987  8 Pd 2.91-2.93, 4 Np 2.93-2.94
Pd: 0.0000 0.5000 0.5000  8 Pd 2.93, 4 Np 2.93
Pd: 0.0000 0.5000 0.7013  8 Pd 2.91-2.93, 4 Np 2.93-2.94
Pd: 0.0000 0.5000 0.8994  2 Np 2.87, 8 Pd 2.90-2.93, 2 Tl 2.93

Results
Electronic total energy (eV/atom): -7.01
Symmetry: P4/mmm

***

# 2
Crystalline NpTlPd2 at its relaxed geometry. Source: Alexandria via LeMat-Bulk, functional PBE.

abc: 4.8787 4.8787 4.8787
angles: 60.00 60.00 60.00
With the nearest neighbours (Å) after each atom.
Positions (direct):
Np: 0.0000 0.0000 0.0000  8 Pd 2.99
Tl: 0.5000 0.5000 0.5000  8 Pd 2.99
Pd: 0.2500 0.2500 0.2500  4 Np 2.99, 4 Tl 2.99
Pd: 0.7500 0.7500 0.7500  4 Tl 2.99, 4 Np 2.99

Results
Electronic total energy (eV/atom): -6.57
Symmetry: Fm-3m

***

# 3
Crystalline NpTlPd6 at its relaxed geometry. Source: Alexandria via LeMat-Bulk, functional PBE.

abc: 4.1204 4.1204 8.2095
angles: 90.00 90.00 90.00
With the nearest neighbours (Å) after each atom.
Positions (direct):
Np: 0.0000 0.0000 0.5000  12 Pd 2.88-2.91
Tl: 0.0000 0.0000 0.0000  12 Pd 2.91-2.93
Pd: 0.5000 0.5000 0.0000  4 Tl 2.91, 8 Pd 2.93
Pd: 0.5000 0.5000 0.5000  8 Pd 2.88, 4 Np 2.91
Pd: 0.5000 0.0000 0.2544  2 Np 2.88, 8 Pd 2.88-2.93, 2 Tl 2.93
Pd: 0.5000 0.0000 0.7456  8 Pd 2.88-2.93, 2 Np 2.88, 2 Tl 2.93
Pd: 0.0000 0.5000 0.2544  2 Np 2.88, 8 Pd 2.88-2.93, 2 Tl 2.93
Pd: 0.0000 0.5000 0.7456  8 Pd 2.88-2.93, 2 Np 2.88, 2 Tl 2.93

Results
Electronic total energy (eV/atom): -6.16
Symmetry: P4/mmm

***

# 4
Crystalline NpTlPd14 at its relaxed geometry. Source: Alexandria via LeMat-Bulk, functional PBE.

abc: 5.7942 5.7942 7.7826
angles: 90.00 90.00 90.00
With the nearest neighbours (Å) after each atom.
Positions (direct):
Np: 0.3750 0.3750 0.5000  12 Pd 2.83-2.90
Tl: 0.8750 0.8750 0.5000  12 Pd 2.86-2.90
Pd: 0.8750 0.8750 0.0000  12 Pd 2.82-2.90
Pd: 0.3750 0.3750 0.0000  12 Pd 2.79-2.90
Pd: 0.8750 0.3750 0.5000  8 Pd 2.84, 2 Tl 2.90, 2 Np 2.90
Pd: 0.8750 0.3750 0.0000  12 Pd 2.81-2.90
Pd: 0.3750 0.8750 0.5000  8 Pd 2.84, 2 Tl 2.90, 2 Np 2.90
Pd: 0.3750 0.8750 0.0000  12 Pd 2.81-2.90
Pd: 0.6222 0.1278 0.2464  10 Pd 2.79-2.93, 1 Np 2.83, 1 Tl 2.86
Pd: 0.6222 0.1278 0.7536  10 Pd 2.79-2.93, 1 Np 2.83, 1 Tl 2.86
Pd: 0.1278 0.6222 0.2464  10 Pd 2.79-2.93, 1 Np 2.83, 1 Tl 2.86
Pd: 0.1278 0.6222 0.7536  10 Pd 2.79-2.93, 1 Np 2.83, 1 Tl 2.86
Pd: 0.6222 0.6222 0.2464  10 Pd 2.79-2.93, 1 Np 2.83, 1 Tl 2.86
Pd: 0.6222 0.6222 0.7536  10 Pd 2.79-2.93, 1 Np 2.83, 1 Tl 2.86
Pd: 0.1278 0.1278 0.2464  10 Pd 2.79-2.93, 1 Np 2.83, 1 Tl 2.86
Pd: 0.1278 0.1278 0.7536  10 Pd 2.79-2.93, 1 Np 2.83, 1 Tl 2.86

Results
Electronic total energy (eV/atom): -5.67
Symmetry: P4/mmm

***

# 5
Crystalline NpTlPd2 at its relaxed geometry. Source: Alexandria via LeMat-Bulk, functional PBE.

abc: 3.0926 5.1268 5.1268
angles: 90.00 90.00 90.00
With the nearest neighbours (Å) after each atom.
Positions (direct):
Np: 0.5000 0.0000 0.0000  8 Pd 2.99, 2 Np 3.09
Tl: 0.5000 0.5000 0.5000  8 Pd 2.99, 2 Tl 3.09
Pd: 0.0000 0.0000 0.5000  4 Tl 2.99, 4 Np 2.99, 2 Pd 3.09
Pd: 0.0000 0.5000 0.0000  4 Tl 2.99, 4 Np 2.99, 2 Pd 3.09

Results
Electronic total energy (eV/atom): -6.48
Symmetry: P4/mmm

***

# 6
Crystalline Tm2NpPd9 at its relaxed geometry. Source: Alexandria via LeMat-Bulk, functional PBE.

abc: 4.1031 4.1031 12.3217
angles: 90.00 90.00 90.00
With the nearest neighbours (Å) after each atom.
Positions (direct):
Tm: 0.0000 0.0000 0.3373  12 Pd 2.87-2.96
Tm: 0.0000 0.0000 0.6627  12 Pd 2.87-2.96
Np: 0.0000 0.0000 0.0000  12 Pd 2.88-2.90
Pd: 0.5000 0.5000 0.0000  8 Pd 2.88, 4 Np 2.90
Pd: 0.5000 0.5000 0.3331  4 Tm 2.90, 8 Pd 2.91-2.92
Pd: 0.5000 0.5000 0.6669  4 Tm 2.90, 8 Pd 2.91-2.92
Pd: 0.5000 0.0000 0.1645  2 Np 2.88, 8 Pd 2.88-2.92, 2 Tm 2.96
Pd: 0.5000 0.0000 0.5000  4 Tm 2.87, 8 Pd 2.90-2.91
Pd: 0.5000 0.0000 0.8355  8 Pd 2.88-2.92, 2 Np 2.88, 2 Tm 2.96
Pd: 0.0000 0.5000 0.1645  2 Np 2.88, 8 Pd 2.88-2.92, 2 Tm 2.96
Pd: 0.0000 0.5000 0.5000  4 Tm 2.87, 8 Pd 2.90-2.91
Pd: 0.0000 0.5000 0.8355  8 Pd 2.88-2.92, 2 Np 2.88, 2 Tm 2.96

Results
Electronic total energy (eV/atom): -6.49
Symmetry: P4/mmm